1.
{
  "formula": "Ge2Te2Br",
  "functional": "PBE",
  "state": "relaxed",
  "cell": [[-3.1475, 0.3819, -3.8067], [0.9590, -4.6932, -1.2638], [-5.7917, -4.1087, 1.1527]],
  "species": ["Ge", "Ge", "Te", "Te", "Br"],
  "fractional_positions": [[0.7500, 0.2500, 0.5000], [0.2500, 0.7500, 0.5000], [0.3579, 0.3579, 0.2841], [0.6421, 0.6421, 0.7159], [0.0000, 0.0000, 0.0000]],
  "m_tot_mub_per_cell": 0.0,
  "raw_formation_energy_ev_per_atom": -0.0286,
  "e_above_lowest_polymorph_mev_per_atom": 133.2,
  "dos_ef_per_ev_atom": 0.240
}

2.
{
  "formula": "La2FeRe2",
  "functional": "PBE",
  "state": "relaxed",
  "cell": [[6.7419, 0.0000, 0.0000], [0.0000, 6.7419, 0.0000], [0.0000, 0.0000, 4.8323]],
  "species": ["Re", "Re", "Re", "Re", "Fe", "Fe", "La", "La", "La", "La"],
  "fractional_positions": [[0.3737, 0.8737, 0.0000], [0.8737, 0.6263, 0.0000], [0.6263, 0.1263, 0.0000], [0.1263, 0.3737, 0.0000], [0.0000, 0.0000, 0.0000], [0.5000, 0.5000, 0.0000], [0.1833, 0.6833, 0.5000], [0.6833, 0.8167, 0.5000], [0.8167, 0.3167, 0.5000], [0.3167, 0.1833, 0.5000]],
  "m_tot_mub_per_cell": 4.1,
  "formation_energy_ev_per_fu": 1.863,
  "e_above_lowest_polymorph_mev_per_atom": 0.0,
  "dos_ef_per_ev_atom": 0.837
}

3.
{
  "formula": "LiScMn2",
  "functional": "PBE",
  "state": "relaxed",
  "cell": [[-2.7651, -8.2833, -3.4927], [-1.0630, -9.2432, -1.3750], [-3.8071, -8.5610, -0.8206]],
  "species": ["Li", "Mn", "Mn", "Sc"],
  "fractional_positions": [[0.7500, 0.7500, 0.7500], [0.9990, 0.9990, 0.9990], [0.5010, 0.5010, 0.5010], [0.2500, 0.2500, 0.2500]],
  "m_tot_mub_per_cell": 5.4,
  "formation_energy_ev_per_fu": 1.654,
  "e_above_lowest_polymorph_mev_per_atom": 251.5,
  "dos_ef_per_ev_atom": 1.387
}